# 1
{
  "formula": "V3HPd",
  "functional": "PBE",
  "state": "optimized geometry",
  "total_magnetization_mub_per_fu": 0.0,
  "energy_ev_per_atom": -7.28,
  "dos_ef_per_ev_atom": 1.386,
  "cell": [[3.865, 0.000, 0.000], [0.000, 3.865, 0.000], [0.000, 0.000, 3.865]],
  "species": ["Pd", "V", "V", "V", "H"],
  "fractional_positions": [[0.500, 0.500, 0.500], [0.000, 0.000, 0.500], [0.500, 0.000, 0.000], [0.000, 0.500, 0.000], [0.000, 0.000, 0.000]]
}

***

# 2
{
  "formula": "HPbSe2N",
  "functional": "PBE",
  "state": "optimized geometry",
  "total_magnetization_mub_per_fu": 1.7,
  "energy_ev_per_atom": -3.53,
  "dos_ef_per_ev_atom": 0.530,
  "cell": [[3.902, 0.000, 0.000], [0.000, 3.902, 0.000], [0.000, 0.000, 6.128]],
  "species": ["Pb", "N", "Se", "Se", "H"],
  "fractional_positions": [[0.500, 0.500, 0.500], [0.000, 0.000, 0.500], [0.500, 0.000, 0.000], [0.000, 0.500, 0.000], [0.000, 0.000, 0.000]]
}

***

# 3
{
  "formula": "MgAg2Hg2",
  "functional": "PBE",
  "state": "optimized geometry",
  "total_magnetization_mub_per_fu": 0.0,
  "formation_enthalpy_0k_ev_per_atom": 0.016,
  "dos_ef_per_ev_atom": 0.223,
  "cell": [[7.622, 0.000, 0.000], [0.000, 7.622, 0.000], [0.000, 0.000, 3.645]],
  "species": ["Ag", "Hg", "Mg", "Ag", "Ag", "Hg", "Ag", "Hg", "Hg", "Mg"],
  "fractional_positions": [[0.866, 0.634, 0.000], [0.332, 0.168, 0.500], [0.500, 0.500, 0.000], [0.366, 0.866, 0.000], [0.134, 0.366, 0.000], [0.832, 0.332, 0.500], [0.634, 0.134, 0.000], [0.168, 0.668, 0.500], [0.668, 0.832, 0.500], [0.000, 0.000, 0.000]]
}